Below is a geometry-optimized NbIrCl2 structure, with properties calculated at the GGA-PBE level.

```
NbIrCl2
1.0
1.538 0.888 8.246
-1.538 0.888 8.246
0.000 -1.776 8.246
Nb Ir Cl
1 1 2
direct
0.000 0.000 0.000
0.500 0.500 0.500
0.407 0.407 0.407
0.593 0.593 0.593
```

Results
- ΔE_f (raw) (meV/atom) = -4
- total energy (eV per atom) = -5.660
- total moment (μB/atom) = 0.000
- theoretical density (Mg/m³) = 8.8
- E above lowest polymorph (eV/atom) = 0.000
- SG = R-3m, No. 166
- Fermi-level density of states (states/eV/cell) = 2.5

Below is a geometry-optimized NbIr3Cl structure, with properties calculated at the GGA-PBE level.

```
NbIr3Cl
1.0
4.421 0.000 0.000
0.000 4.421 0.000
0.000 0.000 4.421
Nb Ir Cl
1 3 1
direct
0.000 0.000 0.000
0.000 0.500 0.500
0.500 0.000 0.500
0.500 0.500 0.000
0.500 0.500 0.500
```

Results
- ΔE_f (raw) (meV/atom) = 1363
- total energy (eV per atom) = -6.337
- total moment (μB/atom) = 0.000
- theoretical density (Mg/m³) = 13.6
- E above lowest polymorph (eV/atom) = 0.000
- SG = Pm-3m, No. 221
- Fermi-level density of states (states/eV/cell) = 10.8